VASP calculation (PBEsol) on a geometry-optimized LiMoP2O7 structure.

Unit cell a=6.4217 b=6.4217 c=13.2178 alpha=101.08 beta=102.74 gamma=98.67
Each line ends with the local moment (μB).
Positions (direct):
1 Li 0.5862 0.4721 0.8457  0.00
2 Li 0.8736 0.2595 0.3457  0.00
3 Li 0.1264 0.7405 0.6543  0.00
4 Li 0.4138 0.5279 0.1543  0.00
5 Mo 0.7665 0.8987 0.1398  2.56
6 Mo 0.2588 0.6267 0.3602  2.56
7 Mo 0.7412 0.3733 0.6398  2.56
8 Mo 0.2335 0.1013 0.8602  2.56
9 P 0.2291 0.2513 0.6346  0.02
10 P 0.3413 0.1672 0.4267  0.02
11 P 0.2405 0.9146 0.0733  0.02
12 P 0.8832 0.4055 0.1346  0.02
13 P 0.7709 0.7487 0.3654  0.02
14 P 0.6587 0.8328 0.5733  0.02
15 P 0.7595 0.0854 0.9267  0.02
16 P 0.1168 0.5945 0.8654  0.02
17 O 0.0575 0.3928 0.6179  0.02
18 O 0.2749 0.4397 0.8821  0.02
19 O 0.1995 0.3048 0.3709  0.02
20 O 0.4535 0.4009 0.6859  0.02
21 O 0.9425 0.6072 0.3821  0.02
22 O 0.7251 0.5603 0.1179  0.02
23 O 0.8005 0.6952 0.6291  0.02
24 O 0.5465 0.5991 0.3141  0.02
25 O 0.9079 0.0342 0.8554  0.03
26 O 0.8250 0.9245 0.3065  0.02
27 O 0.7692 0.8850 0.4792  0.01
28 O 0.6912 0.9001 0.9777  0.03
29 O 0.4225 0.7136 0.5223  0.03
30 O 0.6788 0.0525 0.6446  0.03
31 O 0.9057 0.2899 0.0208  0.01
32 O 0.4338 0.8285 0.1291  0.02
33 O 0.1180 0.5185 0.1935  0.02
34 O 0.7850 0.2324 0.1859  0.02
35 O 0.2150 0.7676 0.8141  0.02
36 O 0.8820 0.4815 0.8065  0.02
37 O 0.5662 0.1715 0.8709  0.02
38 O 0.0943 0.7101 0.9792  0.01
39 O 0.3212 0.9475 0.3554  0.03
40 O 0.5775 0.2864 0.4777  0.03
41 O 0.3088 0.0999 0.0223  0.03
42 O 0.2308 0.1150 0.5208  0.01
43 O 0.1750 0.0755 0.6935  0.02
44 O 0.0921 0.9658 0.1446  0.03

Its formation energy without anion corrections is -2.067 eV per atom. As for the volume: 128 Å³/f.u. The calculation puts the relative energy among the computed polymorphs at 6 meV/atom.